# 1
A PBEsol-optimized structure of BTe3Au. Source: Alexandria via LeMat-Bulk, functional SCAN.

Crystal system: cubic
Fermi-level density of states in states/eV/f.u.: 3.83
Polymorph energy (0 for the lowest one) in eV/atom: 0.4482
Raw total energy in eV per atom: -36.32

Geometry as POSCAR:
```
BTe3Au
1.0
5.3508 0.0000 0.0000
0.0000 5.3508 0.0000
0.0000 0.0000 5.3508
Te B Au
3 1 1
direct
0.5000 0.0000 0.0000 Te
0.0000 0.5000 0.0000 Te
0.0000 0.0000 0.5000 Te
0.5000 0.5000 0.5000 B
0.0000 0.0000 0.0000 Au
```


# 2
A PBEsol-optimized structure of CeAl8Cu4. Source: Alexandria via LeMat-Bulk, functional SCAN.

Crystal system: tetragonal
Fermi-level density of states in states/eV/f.u.: 6.93
Calculated formation energy in kJ/mol of atoms: -36.49
Raw total energy in eV per atom: -13.25

Geometry as POSCAR:
```
CeAl8Cu4
1.0
5.0755 0.0000 0.0000
2.5378 6.2152 0.0000
2.5378 0.0000 6.2152
Cu Al Ce
4 8 1
direct
0.0000 0.0000 0.5000 Cu
0.5000 0.5000 0.0000 Cu
0.5000 0.0000 0.5000 Cu
0.0000 0.5000 0.0000 Cu
0.2803 0.2197 0.2197 Al
0.0000 0.3471 0.6529 Al
0.0000 0.6529 0.3471 Al
0.7197 0.7803 0.7803 Al
0.6529 0.3471 0.3471 Al
0.5000 0.7803 0.2197 Al
0.3471 0.6529 0.6529 Al
0.5000 0.2197 0.7803 Al
0.0000 0.0000 0.0000 Ce
```